Record 1
Entry from OQMD: PmAgW after structural relaxation (PBE).

Final energy   -15.8 eV/f.u.

a = 4.830 Å, b = 4.830 Å, c = 4.830 Å
α = 60.00°, β = 60.00°, γ = 60.00°
Element x y z (fractional)
Pm 0.000 0.000 0.000
W 0.750 0.750 0.750
Ag 0.250 0.250 0.250



Record 2
Entry from OQMD: PmYAg after structural relaxation (PBE).

Final energy   -12.5 eV/f.u.

a = 4.968 Å, b = 4.968 Å, c = 4.968 Å
α = 60.00°, β = 60.00°, γ = 60.00°
Element x y z (fractional)
Pm 0.750 0.750 0.750
Ag 0.250 0.250 0.250
Y 0.000 0.000 0.000



Record 3
Entry from OQMD: PmZn5Ag7 after structural relaxation (PBE).

Final energy   -33.0 eV/f.u.

a = 7.131 Å, b = 7.131 Å, c = 5.218 Å
α = 111.19°, β = 111.19°, γ = 82.28°
Element x y z (fractional)
Ag 0.353 0.353 0.349
Zn 0.779 0.779 0.281
Ag 0.787 0.205 0.497
Zn 0.500 0.996 0.498
Ag 0.658 0.658 0.661
Ag 0.220 0.220 0.719
Zn 0.996 0.500 0.999
Zn 0.996 0.500 0.498
Ag 0.653 0.349 0.001
Ag 0.205 0.787 0.497
Pm 0.003 0.003 0.003
Zn 0.500 0.996 0.999
Ag 0.349 0.653 0.001



Record 4
Entry from OQMD: Pm3Zn8Ag3 after structural relaxation (PBE).

Final energy   -37.3 eV/f.u.

a = 8.400 Å, b = 8.400 Å, c = 8.400 Å
α = 148.99°, β = 115.86°, γ = 72.95°
Element x y z (fractional)
Zn 0.529 0.168 0.360
Pm 0.200 0.200 0.000
Zn 0.192 0.832 0.360
Pm 0.800 0.800 0.000
Zn 0.641 0.362 0.279
Ag 0.207 0.000 0.207
Zn 0.359 0.638 0.721
Ag 0.000 0.500 0.500
Zn 0.083 0.362 0.721
Zn 0.917 0.638 0.279
Zn 0.471 0.832 0.640
Pm 0.500 0.500 0.000
Zn 0.808 0.168 0.640
Ag 0.793 0.000 0.793



| no. | V (Å³ per cell) |
| --- | --- |
| 1 | 80 |
| 2 | 87 |
| 3 | 231 |
| 4 | 271 |